The following is a DFT calculation (PBE-GGA) of V3GaIr4 after structural relaxation.

Values from the calculation:
**Crystal system**: tetragonal
**DOS at the Fermi energy**: 1.351 states/eV per atom
**Space group**: No. 123
**ΔH_f (0 K)**: -319 meV per atom

Cell: 3.185 3.185 11.230 Å, 90.00 90.00 90.00°
Positions (direct):
Ir1 0.000 0.000 0.620
Ir2 0.000 0.000 0.871
Ir3 0.000 0.000 0.129
Ir4 0.000 0.000 0.380
V1 0.500 0.500 0.500
V2 0.500 0.500 0.256
V3 0.500 0.500 0.744
Ga1 0.500 0.500 0.000

***

The following is a DFT calculation (PBE-GGA) of ZrPd3 after structural relaxation.

Values from the calculation:
**Crystal system**: orthorhombic
**DOS at the Fermi energy**: 0.507 states/eV per atom
**Space group**: No. 59
**ΔH_f (0 K)**: -751 meV per atom

Cell: 4.621 5.037 5.698 Å, 90.00 90.00 90.00°
Positions (direct):
Pd1 0.500 0.834 0.251
Pd2 0.000 0.675 0.500
Pd3 0.500 0.325 0.000
Pd4 0.000 0.166 0.249
Pd5 0.500 0.834 0.749
Pd6 0.000 0.166 0.751
Zr1 0.000 0.657 0.000
Zr2 0.500 0.343 0.500

***

The following is a DFT calculation (PBE-GGA) of MnTeAs2Br after structural relaxation.

Values from the calculation:
**Crystal system**: tetragonal
**DOS at the Fermi energy**: 0.701 states/eV per atom
**Distance to the lowest polymorph of the same formula**: 0 meV per atom
**Space group**: No. 123

Cell: 4.954 4.954 4.749 Å, 90.00 90.00 90.00°
Positions (direct):
Te1 0.500 0.500 0.500
Mn1 0.000 0.000 0.000
As1 0.500 0.000 0.000
As2 0.000 0.500 0.000
Br1 0.000 0.000 0.500

***

The following is a DFT calculation (PBE-GGA) of UAs2Rh4 after structural relaxation.

Values from the calculation:
**Crystal system**: tetragonal
**DOS at the Fermi energy**: 1.108 states/eV per atom
**Space group**: No. 139
**ΔH_f (0 K)**: -230 meV per atom

Cell: 3.987 3.987 8.930 Å, 102.90 102.90 90.00°
Positions (direct):
As1 0.652 0.652 0.304
As2 0.348 0.348 0.696
Rh1 0.868 0.868 0.735
Rh2 0.132 0.132 0.265
Rh3 0.750 0.250 0.500
Rh4 0.250 0.750 0.500
U1 0.000 0.000 0.000

***

The following is a DFT calculation (PBE-GGA) of CaYAlMo2 after structural relaxation.

Values from the calculation:
**Crystal system**: tetragonal
**DOS at the Fermi energy**: 1.112 states/eV per atom
**Space group**: No. 123
**ΔH_f (0 K)**: 1922 meV per atom

Cell: 4.860 5.358 4.860 Å, 90.00 90.00 90.00°
Positions (direct):
Mo1 0.500 0.000 0.000
Mo2 0.000 0.000 0.500
Al1 0.500 0.500 0.500
Y1 0.000 0.000 0.000
Ca1 0.000 0.500 0.000

***

The following is a DFT calculation (PBE-GGA) of HoErCuRh after structural relaxation.

Values from the calculation:
**Crystal system**: orthorhombic
**DOS at the Fermi energy**: 0.699 states/eV per atom
**Distance to the lowest polymorph of the same formula**: 0 meV per atom
**Space group**: No. 38
**ΔH_f (0 K)**: -608 meV per atom

Cell: 3.737 4.358 5.483 Å, 90.00 109.92 90.00°
Positions (direct):
Er1 0.863 0.500 0.725
Rh1 0.419 0.000 0.839
Cu1 0.577 0.500 0.154
Ho1 0.141 0.000 0.282

***

The following is a DFT calculation (PBE-GGA) of YZrCu2 after structural relaxation.

Values from the calculation:
**Crystal system**: trigonal
**DOS at the Fermi energy**: 0.801 states/eV per atom
**Distance to the lowest polymorph of the same formula**: 345 meV per atom
**Space group**: No. 160
**ΔH_f (0 K)**: 197 meV per atom

Cell: 8.831 8.831 8.831 Å, 21.50 21.50 21.50°
Positions (direct):
Y1 0.509 0.509 0.509
Cu1 0.991 0.991 0.991
Cu2 0.263 0.263 0.263
Zr1 0.737 0.737 0.737

***

The following is a DFT calculation (PBE-GGA) of TmPaAsO6 after structural relaxation.

Values from the calculation:
**Crystal system**: trigonal
**DOS at the Fermi energy**: 0.492 states/eV per atom
**Electronic total energy**: -144.47 eV for the cell shown
**Space group**: No. 163

Cell: 5.404 5.404 9.569 Å, 90.00 90.00 120.00°
Positions (direct):
As1 0.667 0.333 0.250
As2 0.333 0.667 0.750
O1 0.649 0.969 0.868
O2 0.351 0.031 0.132
O3 0.969 0.320 0.132
O4 0.649 0.680 0.632
O5 0.031 0.680 0.868
O6 0.320 0.351 0.868
O7 0.320 0.969 0.632
O8 0.969 0.649 0.368
O9 0.031 0.351 0.632
O10 0.351 0.320 0.368
O11 0.680 0.031 0.368
O12 0.680 0.649 0.132
Pa1 0.000 0.000 0.500
Pa2 0.000 0.000 0.000
Tm1 0.667 0.333 0.750
Tm2 0.333 0.667 0.250